A relaxed PrPt2O6 crystal. Source: the Alexandria database, functional PBE.

Properties
V (Å³/f.u.): 124.92
Total energy (eV for the cell shown): -58.071
Symmetry: No. 162
Uncorrected formation energy (eV per atom): -1.273
Fermi-level density of states (states/eV per cell): 10.29

abc: 5.3274 5.3274 5.0824
angles: 90.00 90.00 120.00
Element x y z (fractional)
Pr1 0.0000 0.0000 0.0000
Pt1 0.3333 0.6667 0.5000
Pt2 0.6667 0.3333 0.5000
O1 0.0000 0.3626 0.7141
O2 0.0000 0.6374 0.2859
O3 0.3626 0.0000 0.7141
O4 0.3626 0.3626 0.2859
O5 0.6374 0.0000 0.2859
O6 0.6374 0.6374 0.7141

---

A relaxed Ho2Si3NiIr4 crystal. Source: the Alexandria database, functional PBE.

Properties
V (Å³/f.u.): 166.50
Total energy (eV for the cell shown): -75.998
Symmetry: No. 115
Uncorrected formation energy (eV per atom): -0.935
Fermi-level density of states (states/eV per cell): 5.70

abc: 4.0809 4.0809 9.9982
angles: 90.00 90.00 90.00
Element x y z (fractional)
Ho1 0.0000 0.5000 0.2468
Ho2 0.5000 0.0000 0.7532
Si1 0.0000 0.0000 0.0000
Si2 0.0000 0.5000 0.6302
Si3 0.5000 0.0000 0.3698
Ni1 0.5000 0.5000 0.0000
Ir1 0.0000 0.0000 0.5000
Ir2 0.0000 0.5000 0.8653
Ir3 0.5000 0.0000 0.1347
Ir4 0.5000 0.5000 0.5000

---

A relaxed ScFeBr crystal. Source: the Alexandria database, functional PBE.

Properties
V (Å³/f.u.): 63.15
Total energy (eV for the cell shown): -16.845
Symmetry: No. 156
Uncorrected formation energy (eV per atom): -0.126
Fermi-level density of states (states/eV per cell): 4.81

abc: 3.4429 3.4429 6.1520
angles: 90.00 90.00 120.00
Element x y z (fractional)
Sc1 0.0000 0.0000 0.0000
Fe1 0.3333 0.6667 0.7062
Br1 0.6667 0.3333 0.3225

---

A relaxed LaBN2F crystal. Source: the Alexandria database, functional PBE.

Properties
V (Å³/f.u.): 90.86
Total energy (eV for the cell shown): -25.522
Symmetry: No. 123
Uncorrected formation energy (eV per atom): 0.921
Fermi-level density of states (states/eV per cell): 1.97

abc: 4.4129 4.4129 4.6657
angles: 90.00 90.00 90.00
Element x y z (fractional)
La1 0.0000 0.0000 0.0000
B1 0.5000 0.5000 0.5000
N1 0.0000 0.5000 0.0000
N2 0.5000 0.0000 0.0000
F1 0.0000 0.0000 0.5000